1.
# Tb6Ni2Ru (PBE, optimized geometry)
data_Tb6Ni2Ru
_symmetry_space_group_name_H-M 'I m m m'
_symmetry_Int_Tables_number 71
_symmetry_space_group_name_Hall '-I 2 2'
_cell_length_a 9.431
_cell_length_b 9.504
_cell_length_c 9.581
_cell_angle_alpha 90.00
_cell_angle_beta 90.00
_cell_angle_gamma 90.00
loop_
_atom_site_label
_atom_site_type_symbol
_atom_site_fract_x
_atom_site_fract_y
_atom_site_fract_z
Tb1 Tb 0.000 0.190 0.172
Tb2 Tb 0.174 0.244 0.500
Tb3 Tb 0.184 0.500 0.235
Ni1 Ni 0.000 0.000 0.381
Ni2 Ni 0.164 0.000 0.000
Ru1 Ru 0.000 0.500 0.000
Ru2 Ru 0.000 0.500 0.500
# Energy = -5.69 eV per atom
# Volume = 23.9 Å³/atom

2.
# Tb4NiRu3 (PBE, optimized geometry)
data_Tb4NiRu3
_symmetry_space_group_name_H-M 'P m m m'
_symmetry_Int_Tables_number 47
_cell_length_a 3.421
_cell_length_b 4.843
_cell_length_c 9.596
_cell_angle_alpha 90.00
_cell_angle_beta 90.00
_cell_angle_gamma 90.00
loop_
_symmetry_equiv_pos_as_xyz
'x,y,z'
'-x,-y,-z'
'-x,-y,z'
'x,y,-z'
'x,-y,-z'
'-x,y,z'
'-x,y,-z'
'x,-y,z'
loop_
_atom_site_label
_atom_site_type_symbol
_atom_site_fract_x
_atom_site_fract_y
_atom_site_fract_z
Tb1 Tb 0.000 0.000 0.000
Tb2 Tb 0.000 0.000 0.500
Tb3 Tb 0.000 0.500 0.248
Ni1 Ni 0.500 0.500 0.500
Ru1 Ru 0.500 0.000 0.254
Ru2 Ru 0.500 0.500 0.000
# Energy = -6.85 eV per atom
# Volume = 19.9 Å³/atom

3.
# Tb2NiRu (PBE, optimized geometry)
data_Tb2NiRu
_symmetry_space_group_name_H-M 'P 4/m m m'
_symmetry_Int_Tables_number 123
_symmetry_space_group_name_Hall '-P 4 2'
_cell_length_a 3.408
_cell_length_b 3.408
_cell_length_c 6.815
_cell_angle_alpha 90.00
_cell_angle_beta 90.00
_cell_angle_gamma 90.00
loop_
_atom_site_label
_atom_site_type_symbol
_atom_site_fract_x
_atom_site_fract_y
_atom_site_fract_z
Tb1 Tb 0.000 0.000 0.249
Ni1 Ni 0.500 0.500 0.500
Ru1 Ru 0.500 0.500 0.000
# Energy = -6.46 eV per atom
# Volume = 19.8 Å³/atom

4.
# Tb8NiRu2 (PBE, optimized geometry)
data_Tb8NiRu2
_symmetry_space_group_name_H-M 'C 1 m 1'
_symmetry_Int_Tables_number 8
_cell_length_a 8.293
_cell_length_b 12.543
_cell_length_c 6.043
_cell_angle_alpha 90.00
_cell_angle_beta 110.42
_cell_angle_gamma 90.00
loop_
_symmetry_equiv_pos_as_xyz
'x,y,z'
'x,-y,z'
'x+1/2,y+1/2,z'
'x+1/2,-y+1/2,z'
loop_
_atom_site_label
_atom_site_type_symbol
_atom_site_fract_x
_atom_site_fract_y
_atom_site_fract_z
Tb1 Tb 0.000 0.000 0.000
Tb2 Tb 0.075 0.368 0.795
Tb3 Tb 0.151 0.131 0.584
Tb4 Tb 0.216 0.500 0.386
Tb5 Tb 0.357 0.206 0.197
Ni1 Ni 0.356 0.000 0.374
Ru1 Ru 0.364 0.311 0.687
# Energy = -5.76 eV per atom
# Volume = 26.8 Å³/atom

5.
# Tb2Ni15Ru2 (PBE, optimized geometry)
data_Tb2Ni15Ru2
_symmetry_space_group_name_H-M 'R -3 m'
_symmetry_Int_Tables_number 166
_symmetry_space_group_name_Hall '-R 3 2"'
_cell_length_a 8.3249
_cell_length_b 8.3249
_cell_length_c 12.2961
_cell_angle_alpha 90.00
_cell_angle_beta 90.00
_cell_angle_gamma 120.00
loop_
_atom_site_label
_atom_site_type_symbol
_atom_site_fract_x
_atom_site_fract_y
_atom_site_fract_z
Tb1 Tb 0.0000 0.0000 0.1562
Ni1 Ni 0.0000 0.3001 0.5000
Ni2 Ni 0.0000 0.5000 0.0000
Ni3 Ni 0.9998 0.4999 0.3435
Ru1 Ru 0.0000 0.0000 0.4035
# Energy = -6.19 eV per atom
# Volume = 12.9 Å³/atom

6.
# Tb7Ni2Ru2 (PBE, optimized geometry)
data_Tb7Ni2Ru2
_symmetry_space_group_name_H-M 'C m m m'
_symmetry_Int_Tables_number 65
_symmetry_space_group_name_Hall '-C 2 2'
_cell_length_a 7.275
_cell_length_b 10.849
_cell_length_c 6.959
_cell_angle_alpha 90.00
_cell_angle_beta 90.00
_cell_angle_gamma 90.00
loop_
_atom_site_label
_atom_site_type_symbol
_atom_site_fract_x
_atom_site_fract_y
_atom_site_fract_z
Tb1 Tb 0.000 0.000 0.000
Tb2 Tb 0.000 0.500 0.262
Tb3 Tb 0.250 0.250 0.276
Ni1 Ni 0.167 0.000 0.500
Ru1 Ru 0.000 0.303 0.000
# Energy = -5.80 eV per atom
# Volume = 25.0 Å³/atom

7.
# Tb2Ni2Ru (PBE, optimized geometry)
data_Tb2Ni2Ru
_symmetry_space_group_name_H-M 'C 1 2/c 1'
_symmetry_Int_Tables_number 15
_cell_length_a 8.792
_cell_length_b 5.346
_cell_length_c 8.029
_cell_angle_alpha 90.00
_cell_angle_beta 103.54
_cell_angle_gamma 90.00
loop_
_symmetry_equiv_pos_as_xyz
'x,y,z'
'-x,-y,-z'
'-x,y,-z+1/2'
'x,-y,z+1/2'
'x+1/2,y+1/2,z'
'-x+1/2,-y+1/2,-z'
'-x+1/2,y+1/2,-z+1/2'
'x+1/2,-y+1/2,z+1/2'
loop_
_atom_site_label
_atom_site_type_symbol
_atom_site_fract_x
_atom_site_fract_y
_atom_site_fract_z
Tb1 Tb 0.152 0.127 0.154
Ni1 Ni 0.126 0.378 0.499
Ru1 Ru 0.000 0.353 0.750
# Energy = -6.38 eV per atom
# Volume = 18.3 Å³/atom

8.
# Tb4NiRu (PBE, optimized geometry)
data_Tb4NiRu
_symmetry_space_group_name_H-M 'I 4/m c m'
_symmetry_Int_Tables_number 140
_symmetry_space_group_name_Hall '-I 4 2c'
_cell_length_a 6.794
_cell_length_b 6.794
_cell_length_c 12.723
_cell_angle_alpha 90.00
_cell_angle_beta 90.00
_cell_angle_gamma 90.00
loop_
_atom_site_label
_atom_site_type_symbol
_atom_site_fract_x
_atom_site_fract_y
_atom_site_fract_z
Tb1 Tb 0.183 0.317 0.129
Ni1 Ni 0.000 0.000 0.000
Ru1 Ru 0.000 0.000 0.250
# Energy = -5.83 eV per atom
# Volume = 24.5 Å³/atom
# Excess energy over the best structure of this formula in the dataset = 16 meV per atom

9.
# Tb2NiRu3 (PBE, optimized geometry)
data_Tb2NiRu3
_symmetry_space_group_name_H-M 'R -3 m'
_symmetry_Int_Tables_number 166
_symmetry_space_group_name_Hall '-R 3 2"'
_cell_length_a 5.2618
_cell_length_b 5.2618
_cell_length_c 13.0855
_cell_angle_alpha 90.00
_cell_angle_beta 90.00
_cell_angle_gamma 120.00
loop_
_atom_site_label
_atom_site_type_symbol
_atom_site_fract_x
_atom_site_fract_y
_atom_site_fract_z
Tb1 Tb 0.0000 0.0000 0.1229
Ni1 Ni 0.0000 0.0000 0.5000
Ru1 Ru 0.0000 0.5000 0.0000
# Energy = -7.49 eV per atom
# Volume = 17.4 Å³/atom

10.
# Tb4NiRu (PBE, optimized geometry)
data_Tb4NiRu
_symmetry_space_group_name_H-M 'P 1 21/c 1'
_symmetry_Int_Tables_number 14
_cell_length_a 6.780
_cell_length_b 6.802
_cell_length_c 6.785
_cell_angle_alpha 90.00
_cell_angle_beta 90.08
_cell_angle_gamma 90.00
loop_
_symmetry_equiv_pos_as_xyz
'x,y,z'
'-x,-y,-z'
'-x,y+1/2,-z+1/2'
'x,-y+1/2,z+1/2'
loop_
_atom_site_label
_atom_site_type_symbol
_atom_site_fract_x
_atom_site_fract_y
_atom_site_fract_z
Tb1 Tb 0.163 0.161 0.163
Tb2 Tb 0.335 0.665 0.164
Ni1 Ni 0.500 0.000 0.000
Ru1 Ru 0.000 0.000 0.500
# Energy = -5.85 eV per atom
# Volume = 26.1 Å³/atom
# Excess energy over the best structure of this formula in the dataset = 0 meV per atom

11.
# TbNiRu (PBE, optimized geometry)
data_TbNiRu
_symmetry_space_group_name_H-M 'I m m a'
_symmetry_Int_Tables_number 74
_symmetry_space_group_name_Hall '-I 2b 2'
_cell_length_a 5.130
_cell_length_b 5.170
_cell_length_c 7.601
_cell_angle_alpha 90.00
_cell_angle_beta 90.00
_cell_angle_gamma 90.00
loop_
_atom_site_label
_atom_site_type_symbol
_atom_site_fract_x
_atom_site_fract_y
_atom_site_fract_z
Tb1 Tb 0.000 0.250 0.122
Ni1 Ni 0.000 0.000 0.500
Ru1 Ru 0.250 0.250 0.750
# Energy = -6.94 eV per atom
# Volume = 16.8 Å³/atom
# Excess energy over the best structure of this formula in the dataset = 0 meV per atom

12.
# TbThNiRu (PBE, optimized geometry)
data_TbThNiRu
_symmetry_space_group_name_H-M 'F -4 3 m'
_symmetry_Int_Tables_number 216
_symmetry_space_group_name_Hall 'F -4 2 3'
_cell_length_a 6.948
_cell_length_b 6.948
_cell_length_c 6.948
_cell_angle_alpha 90.00
_cell_angle_beta 90.00
_cell_angle_gamma 90.00
loop_
_atom_site_label
_atom_site_type_symbol
_atom_site_fract_x
_atom_site_fract_y
_atom_site_fract_z
Tb1 Tb 0.000 0.000 0.000
Th1 Th 0.000 0.000 0.500
Ni1 Ni 0.250 0.250 0.750
Ru1 Ru 0.250 0.250 0.250
# Energy = -7.14 eV per atom
# Volume = 21.0 Å³/atom
# Excess energy over the best structure of this formula in the dataset = 113 meV per atom

13.
# TbThNiRu (PBE, optimized geometry)
data_TbThNiRu
_symmetry_space_group_name_H-M 'A m m 2'
_symmetry_Int_Tables_number 38
_cell_length_a 4.060
_cell_length_b 3.860
_cell_length_c 10.972
_cell_angle_alpha 90.00
_cell_angle_beta 90.00
_cell_angle_gamma 90.00
loop_
_symmetry_equiv_pos_as_xyz
'x,y,z'
'-x,-y,z'
'-x,y,z'
'x,-y,z'
'x,y+1/2,z+1/2'
'-x,-y+1/2,z+1/2'
'-x,y+1/2,z+1/2'
'x,-y+1/2,z+1/2'
loop_
_atom_site_label
_atom_site_type_symbol
_atom_site_fract_x
_atom_site_fract_y
_atom_site_fract_z
Tb1 Tb 0.000 0.000 0.000
Th1 Th 0.500 0.000 0.725
Ni1 Ni 0.500 0.000 0.442
Ru1 Ru 0.000 0.000 0.275
# Energy = -7.25 eV per atom
# Volume = 21.5 Å³/atom
# Excess energy over the best structure of this formula in the dataset = 0 meV per atom